Compound: InSbTe2F
Source: the Alexandria database
Functional: PBE
Structure: relaxed

Summary:
Magnetization = 0.0000 μB per atom
Raw formation energy = -161 meV per atom
Energy above the lowest structure with this stoichiometry = 0.0 kJ/mol of formula units
Raw total energy = -3.164 eV/atom
Crystal system = tetragonal
D(E_F) = 0.835 states/eV/atom

Cell: 5.5445 5.5445 4.4353 Å, 90.00 90.00 90.00°
Space group P4/mmm (No. 123)
Asymmetric unit:
1 In 0.0000 0.0000 0.0000 [1 per cell]
2 Sb 0.5000 0.5000 0.0000 [1 per cell]
3 Te 0.0000 0.5000 0.5000 [2 per cell]
4 F 0.5000 0.5000 0.5000 [1 per cell]